First-principles (GGA-PBE) data for crystalline BaAg8S5 at its relaxed geometry, as listed in the Open Quantum Materials Database.

Computed properties:
Total DFT energy (no corrections) in eV per atom: -3.581
Space group: P2_1/m (11)

a b c (Å): 7.8600 17.6508 9.0713
angles (deg): 90.00 108.12 90.00
Fractional positions:
1 Ba 0.0644 0.2500 0.2464
2 Ba 0.1028 0.2500 0.7876
3 Ba 0.8972 0.7500 0.2124
4 Ba 0.9356 0.7500 0.7536
5 Ag 0.0000 0.0000 0.0000
6 Ag 0.0000 0.5000 0.0000
7 Ag 0.1296 0.5500 0.3503
8 Ag 0.1296 0.9500 0.3503
9 Ag 0.1847 0.5495 0.7106
10 Ag 0.1847 0.9505 0.7106
11 Ag 0.2431 0.0977 0.5734
12 Ag 0.2431 0.4023 0.5734
13 Ag 0.3856 0.6625 0.2806
14 Ag 0.3856 0.8375 0.2806
15 Ag 0.3949 0.6601 0.9576
16 Ag 0.3949 0.8399 0.9576
17 Ag 0.4390 0.5056 0.1456
18 Ag 0.4390 0.9944 0.1456
19 Ag 0.4429 0.6617 0.6287
20 Ag 0.4429 0.8383 0.6287
21 Ag 0.5000 0.0000 0.5000
22 Ag 0.5000 0.5000 0.5000
23 Ag 0.5571 0.1617 0.3713
24 Ag 0.5571 0.3383 0.3713
25 Ag 0.5610 0.0056 0.8544
26 Ag 0.5610 0.4944 0.8544
27 Ag 0.6051 0.1601 0.0424
28 Ag 0.6051 0.3399 0.0424
29 Ag 0.6144 0.1625 0.7194
30 Ag 0.6144 0.3375 0.7194
31 Ag 0.7569 0.5977 0.4266
32 Ag 0.7569 0.9023 0.4266
33 Ag 0.8153 0.0495 0.2894
34 Ag 0.8153 0.4505 0.2894
35 Ag 0.8704 0.0500 0.6497
36 Ag 0.8704 0.4500 0.6497
37 S 0.1022 0.6541 0.5265
38 S 0.1022 0.8459 0.5265
39 S 0.1298 0.6350 0.0458
40 S 0.1298 0.8650 0.0458
41 S 0.2702 0.0719 0.2966
42 S 0.2702 0.4281 0.2966
43 S 0.2715 0.0688 0.8575
44 S 0.2715 0.4312 0.8575
45 S 0.3798 0.2500 0.5675
46 S 0.4084 0.2500 0.1212
47 S 0.5916 0.7500 0.8788
48 S 0.6202 0.7500 0.4325
49 S 0.7285 0.5688 0.1425
50 S 0.7285 0.9312 0.1425
51 S 0.7298 0.5719 0.7034
52 S 0.7298 0.9281 0.7034
53 S 0.8702 0.1350 0.9542
54 S 0.8702 0.3650 0.9542
55 S 0.8978 0.1541 0.4735
56 S 0.8978 0.3459 0.4735

***

First-principles (GGA-PBE) data for crystalline Tl2AgSbCl6 at its relaxed geometry, as listed in the Open Quantum Materials Database.

Computed properties:
Polymorph energy (0 for the lowest one) in meV per atom: 0
Space group: P2_1/c (14)

a b c (Å): 7.3382 7.4789 12.7904
angles (deg): 90.00 124.80 90.00
Fractional positions:
1 Tl 0.2335 0.0707 0.2507
2 Tl 0.2335 0.4293 0.7507
3 Tl 0.7665 0.5707 0.2493
4 Tl 0.7665 0.9293 0.7493
5 Ag 0.0000 0.0000 0.5000
6 Ag 0.0000 0.5000 0.0000
7 Sb 0.5000 0.0000 0.0000
8 Sb 0.5000 0.5000 0.5000
9 Cl 0.1581 0.1952 0.9562
10 Cl 0.1581 0.3048 0.4562
11 Cl 0.2731 0.6995 0.9632
12 Cl 0.2731 0.8005 0.4632
13 Cl 0.3352 0.0069 0.7523
14 Cl 0.3352 0.4931 0.2523
15 Cl 0.6648 0.5069 0.7477
16 Cl 0.6648 0.9931 0.2477
17 Cl 0.7269 0.1995 0.5368
18 Cl 0.7269 0.3005 0.0368
19 Cl 0.8419 0.6952 0.5438
20 Cl 0.8419 0.8048 0.0438

***

First-principles (GGA-PBE) data for crystalline SmAgPd at its relaxed geometry, as listed in the Open Quantum Materials Database.

Computed properties:
Total magnetization in μB per cell: 0.0
Polymorph energy (0 for the lowest one) in meV per atom: 394
Space group: F-43m (216)
DFT formation energy in eV/atom: -0.07

a b c (Å): 4.7744 4.7744 4.7744
angles (deg): 60.00 60.00 60.00
Fractional positions:
1 Sm 0.0000 0.0000 0.0000
2 Ag 0.7500 0.7500 0.7500
3 Pd 0.2500 0.2500 0.2500

***

First-principles (GGA-PBE) data for crystalline Sc2ZnSb at its relaxed geometry, as listed in the Open Quantum Materials Database.

Computed properties:
Total magnetization in μB per cell: 0.1
Total DFT energy (no corrections) in eV per atom: -4.530
Space group: F-43m (216)

a b c (Å): 4.9712 4.9712 4.9712
angles (deg): 60.00 60.00 60.00
Fractional positions:
1 Sc 0.0000 0.0000 0.0000
2 Sc 0.2500 0.2500 0.2500
3 Zn 0.7500 0.7500 0.7500
4 Sb 0.5000 0.5000 0.5000

***

First-principles (GGA-PBE) data for crystalline CsLiZrS3 at its relaxed geometry, as listed in the Open Quantum Materials Database.

Computed properties:
Total magnetization in μB per cell: 0.0
Polymorph energy (0 for the lowest one) in meV per atom: 2
Space group: P2_1/m (11)

a b c (Å): 9.0642 3.8823 9.6356
angles (deg): 90.00 113.11 90.00
Fractional positions:
1 Cs 0.2281 0.2500 0.2631
2 Cs 0.7719 0.7500 0.7369
3 Li 0.0765 0.2500 0.6022
4 Li 0.9235 0.7500 0.3978
5 Zr 0.3211 0.7500 0.8456
6 Zr 0.6789 0.2500 0.1544
7 S 0.1410 0.2500 0.8673
8 S 0.2089 0.7500 0.5651
9 S 0.4777 0.7500 0.1439
10 S 0.5223 0.2500 0.8561
11 S 0.7911 0.2500 0.4349
12 S 0.8590 0.7500 0.1327

***

First-principles (GGA-PBE) data for crystalline NaAlSnPt at its relaxed geometry, as listed in the Open Quantum Materials Database.

Computed properties:
Total magnetization in μB per cell: 0.0
Polymorph energy (0 for the lowest one) in meV per atom: 143
Space group: F-43m (216)

a b c (Å): 4.7278 4.7278 4.7278
angles (deg): 60.00 60.00 60.00
Fractional positions:
1 Na 0.0000 0.0000 0.0000
2 Al 0.5000 0.5000 0.5000
3 Sn 0.7500 0.7500 0.7500
4 Pt 0.2500 0.2500 0.2500

***

First-principles (GGA-PBE) data for crystalline SmTlCd at its relaxed geometry, as listed in the Open Quantum Materials Database.

Computed properties:
Total magnetization in μB per cell: 0.0
Total DFT energy (no corrections) in eV per atom: -3.014
Space group: P6_3mc (186)

a b c (Å): 4.9302 4.9302 7.6022
angles (deg): 90.00 90.00 120.00
Fractional positions:
1 Sm 0.0000 0.0000 0.0000
2 Sm 0.0000 0.0000 0.5000
3 Tl 0.3333 0.6667 0.2100
4 Tl 0.6667 0.3333 0.7100
5 Cd 0.3333 0.6667 0.7909
6 Cd 0.6667 0.3333 0.2909

***

First-principles (GGA-PBE) data for crystalline NdSc2NiSn3Ir2 at its relaxed geometry, as listed in the Open Quantum Materials Database.

Computed properties:
Total magnetization in μB per cell: 0.0
Total DFT energy (no corrections) in eV per atom: -6.572
Space group: Amm2 (38)

a b c (Å): 3.6354 7.5809 7.5809
angles (deg): 120.79 90.00 90.00
Fractional positions:
1 Nd 0.0000 0.0000 0.0000
2 Sc 0.0000 0.4066 0.8125
3 Sc 0.0000 0.8125 0.4066
4 Ni 0.0000 0.4102 0.4102
5 Sn 0.5000 0.1496 0.4138
6 Sn 0.5000 0.4138 0.1496
7 Sn 0.5000 0.6590 0.6590
8 Ir 0.5000 0.0775 0.7306
9 Ir 0.5000 0.7306 0.0775